(1)
Cr2CdCu after structural relaxation. Source: Alexandria, functional PBE-GGA.

The structure in POSCAR format:
```
Cr2CdCu
1.0
-1.916 1.726 0.432
-1.280 -1.779 1.427
3.823 2.581 6.644
Cr Cu Cd
2 1 1
Direct
0.000 0.000 0.473
0.000 0.000 0.027
0.500 0.500 0.250
0.500 0.500 0.750
```

Values from the calculation:
The calculation puts the formation energy at 570.3 meV per atom. The calculation puts the uncorrected energy at -5.49 eV per atom. The total magnetization comes out at 0.00 μB per formula unit. As for the density of states at the Fermi level: 0.7627 states/eV/atom.

=====

(2)
CaTa3I after structural relaxation. Source: Alexandria, functional PBE-GGA.

The structure in POSCAR format:
```
CaTa3I
1.0
4.949 0.000 0.000
0.000 4.949 0.000
0.000 0.000 4.949
Ca I Ta
1 1 3
Direct
0.000 0.000 0.000
0.500 0.500 0.500
0.000 0.000 0.500
0.500 0.000 0.000
0.000 0.500 0.000
```

Values from the calculation:
The relative energy among the computed polymorphs is 969 meV per atom. The uncorrected formation energy comes out at 2702 meV/atom. The calculation puts the uncorrected energy at -5.12 eV per atom. The total magnetization comes out at 0.00 μB per formula unit. As for the density of states at the Fermi level: 1.4089 states/eV/atom.

=====

(3)
ThCoB2Ir2 after structural relaxation. Source: Alexandria, functional PBE-GGA.

The structure in POSCAR format:
```
ThCoB2Ir2
1.0
3.918 0.000 0.000
0.000 3.918 0.000
-1.959 -1.959 5.687
B Th Ir Co
2 1 2 1
Direct
0.174 0.174 0.348
0.826 0.826 0.652
0.500 0.500 0.000
0.750 0.250 0.500
0.250 0.750 0.500
0.000 0.000 0.000
```

Values from the calculation:
The calculation puts the formation energy at -478.3 meV per atom. The calculation puts the uncorrected energy at -8.08 eV per atom. The total magnetization comes out at 0.00 μB per formula unit. As for the density of states at the Fermi level: 0.4363 states/eV/atom.

=====

(4)
GaSb2S4 after structural relaxation. Source: Alexandria, functional PBE-GGA.

The structure in POSCAR format:
```
GaSb2S4
1.0
7.277 0.000 0.306
0.000 6.604 0.000
-2.331 0.000 8.128
S Ga Sb
8 2 4
Direct
0.517 0.006 0.292
0.942 0.250 0.652
0.483 0.994 0.708
0.517 0.494 0.292
0.483 0.506 0.708
0.867 0.250 0.049
0.058 0.750 0.348
0.133 0.750 0.951
0.697 0.250 0.779
0.303 0.750 0.221
0.334 0.250 0.423
0.853 0.750 0.073
0.147 0.250 0.927
0.666 0.750 0.577
```

Values from the calculation:
The relative energy among the computed polymorphs is 0 meV per atom. The uncorrected formation energy comes out at -250 meV/atom. The calculation puts the uncorrected energy at -4.22 eV per atom. The total magnetization comes out at 0.00 μB per formula unit. As for the density of states at the Fermi level: 0.1744 states/eV/atom.

=====

(5)
Rb2ScTeI6 after structural relaxation. Source: Alexandria, functional PBE-GGA.

The structure in POSCAR format:
```
Rb2ScTeI6
1.0
-2.910 5.063 -6.163
0.472 -6.439 -5.513
-7.626 -2.484 -4.289
I Te Sc Rb
6 1 1 2
Direct
0.256 0.256 0.000
0.256 0.744 0.000
0.744 0.744 0.000
0.744 0.256 0.000
0.290 0.290 0.420
0.710 0.710 0.580
0.000 0.000 0.000
0.500 0.500 0.000
0.250 0.750 0.500
0.750 0.250 0.500
```

Values from the calculation:
The uncorrected formation energy comes out at -909 meV/atom. The calculation puts the uncorrected energy at -2.98 eV per atom. The total magnetization comes out at 0.00 μB per formula unit. As for the density of states at the Fermi level: 0.5256 states/eV/atom.

=====

(6)
Ce10Ga2C3 after structural relaxation. Source: Alexandria, functional PBE-GGA.

The structure in POSCAR format:
```
Ce10Ga2C3
1.0
6.447 0.000 -2.098
-1.095 8.654 -3.363
0.337 0.311 11.989
Ga Ce C
4 20 6
Direct
0.371 0.246 0.742
0.740 0.308 0.479
0.629 0.754 0.258
0.260 0.692 0.521
0.018 0.199 0.035
0.164 0.937 0.768
0.405 0.467 0.291
0.396 0.063 0.232
0.268 0.500 0.000
0.885 0.467 0.291
0.982 0.801 0.965
0.126 0.762 0.252
0.836 0.063 0.232
0.115 0.533 0.709
0.604 0.937 0.768
0.874 0.238 0.748
0.000 0.000 0.500
0.500 0.000 0.500
0.495 0.800 0.990
0.505 0.200 0.010
0.245 0.323 0.489
0.755 0.677 0.511
0.732 0.500 0.000
0.595 0.533 0.709
0.819 0.947 0.638
0.181 0.053 0.362
0.260 0.000 0.000
0.927 0.517 0.854
0.073 0.483 0.146
0.740 0.000 0.000
```

Values from the calculation:
The calculation puts the formation energy at -189.8 meV per atom. The calculation puts the uncorrected energy at -6.39 eV per atom. The total magnetization comes out at 4.66 μB per formula unit. As for the density of states at the Fermi level: 2.2514 states/eV/atom.

=====

(7)
KRhSe3 after structural relaxation. Source: Alexandria, functional PBE-GGA.

The structure in POSCAR format:
```
KRhSe3
1.0
5.032 0.000 0.000
0.000 5.032 0.000
0.000 0.000 5.032
Se K Rh
3 1 1
Direct
0.000 0.000 0.500
0.500 0.000 0.000
0.000 0.500 0.000
0.500 0.500 0.500
0.000 0.000 0.000
```

Values from the calculation:
The relative energy among the computed polymorphs is 0 meV per atom. The uncorrected formation energy comes out at -184 meV/atom. The calculation puts the uncorrected energy at -3.96 eV per atom. The total magnetization comes out at 1.25 μB per formula unit. As for the density of states at the Fermi level: 1.3292 states/eV/atom.

=====

(8)
MnNiRh4 after structural relaxation. Source: Alexandria, functional PBE-GGA.

The structure in POSCAR format:
```
MnNiRh4
1.0
6.380 1.521 1.613
-3.099 5.021 3.287
-0.939 1.521 6.513
Rh Mn Ni
8 2 2
Direct
0.734 0.850 0.883
0.266 0.383 0.883
0.266 0.883 0.850
0.734 0.883 0.383
0.234 0.867 0.367
0.766 0.367 0.867
0.766 0.400 0.367
0.234 0.367 0.400
0.500 0.750 0.750
0.000 0.500 0.500
0.500 0.250 0.250
0.000 0.000 0.000
```

Values from the calculation:
The calculation puts the formation energy at 942.9 meV per atom. The relative energy among the computed polymorphs is 557 meV per atom. The calculation puts the uncorrected energy at -6.45 eV per atom. The total magnetization comes out at 0.09 μB per formula unit. As for the density of states at the Fermi level: 1.4605 states/eV/atom.

=====

(9)
Tc2HgPt after structural relaxation. Source: Alexandria, functional PBE-GGA.

The structure in POSCAR format:
```
Tc2HgPt
1.0
4.939 -0.004 -0.003
4.135 2.700 -0.003
0.798 0.237 4.863
Tc Hg Pt
2 1 1
Direct
0.493 0.493 0.523
0.007 0.007 0.977
0.250 0.250 0.250
0.750 0.750 0.750
```

Values from the calculation:
The calculation puts the formation energy at 341.1 meV per atom. The calculation puts the uncorrected energy at -6.43 eV per atom. The total magnetization comes out at 0.00 μB per formula unit. As for the density of states at the Fermi level: 1.0276 states/eV/atom.

=====

(10)
CsCaCdI5 after structural relaxation. Source: Alexandria, functional PBE-GGA.

The structure in POSCAR format:
```
CsCaCdI5
1.0
-2.552 4.614 7.104
4.051 -7.197 3.173
8.517 6.264 -4.513
Cs I Ca Cd
2 10 2 2
Direct
0.345 0.655 0.250
0.655 0.345 0.750
0.624 0.760 0.942
0.320 0.904 0.606
0.096 0.680 0.894
0.926 0.074 0.750
0.680 0.096 0.394
0.240 0.376 0.558
0.904 0.320 0.106
0.760 0.624 0.442
0.376 0.240 0.058
0.074 0.926 0.250
0.000 0.000 0.000
0.000 0.000 0.500
0.686 0.314 0.250
0.314 0.686 0.750
```

Values from the calculation:
The uncorrected formation energy comes out at -1214 meV/atom. The calculation puts the uncorrected energy at -2.65 eV per atom. The total magnetization comes out at 0.00 μB per formula unit. As for the density of states at the Fermi level: 0.0000 states/eV/atom.

=====

(11)
RbBaGa2Cl8 after structural relaxation. Source: Alexandria, functional PBE-GGA.

The structure in POSCAR format:
```
RbBaGa2Cl8
1.0
6.925 0.000 0.000
3.462 5.997 0.000
3.462 1.999 9.706
Cl Ga Rb Ba
8 2 1 1
Direct
0.569 0.307 0.188
0.935 0.569 0.188
0.167 0.167 0.499
0.833 0.833 0.501
0.693 0.065 0.812
0.307 0.935 0.188
0.065 0.431 0.812
0.431 0.693 0.812
0.756 0.756 0.733
0.244 0.244 0.267
0.500 0.500 0.500
0.000 0.000 0.000
```

Values from the calculation:
The uncorrected formation energy comes out at -1487 meV/atom. The calculation puts the uncorrected energy at -3.46 eV per atom. The total magnetization comes out at 0.68 μB per formula unit. As for the density of states at the Fermi level: 0.5617 states/eV/atom.

=====

(12)
La6Pm2Sm after structural relaxation. Source: Alexandria, functional PBE-GGA.

The structure in POSCAR format:
```
La6Pm2Sm
1.0
-3.509 1.141 -0.089
1.387 -1.926 -2.827
-7.991 -23.624 12.171
La Pm Sm
6 2 1
Direct
0.333 0.667 0.780
0.333 0.667 0.437
0.333 0.667 0.220
0.667 0.333 0.892
0.667 0.333 0.108
0.333 0.667 0.563
0.667 0.333 0.669
0.667 0.333 0.331
0.333 0.667 0.000
```

Values from the calculation:
The calculation puts the formation energy at 57.8 meV per atom. The relative energy among the computed polymorphs is 14 meV per atom. The calculation puts the uncorrected energy at -4.81 eV per atom. The total magnetization comes out at 0.00 μB per formula unit. As for the density of states at the Fermi level: 1.9776 states/eV/atom.

=====

> uncorrected energy of number 5 (Rb2ScTeI6)?

-2.98 eV per atom

=====

> The highest uncorrected energy belongs to which entry?

CsCaCdI5

=====

> Which of these has the lowest uncorrected energy?

ThCoB2Ir2